No. 1
The following is a GGA-PBEsol calculation of Fe2Mo2Os after structural relaxation, from Alexandria via LeMat-Bulk.

Its calculated volume is 13.88 A^3/atom. The total energy comes out at -100.52 eV per cell.

The space group is I4/mmm (No. 139) and the conventional cell measures 3.7800, 3.7800 and 9.7140 Å, with angles of 90.00, 90.00 and 90.00 degrees. Symmetry generates all atoms from Fe at (0.0000, 0.0000, 0.1028), Mo at (0.0000, 0.5000, 0.2500) and Os at (0.0000, 0.0000, 0.5000).


No. 2
The following is a GGA-PBEsol calculation of Zr2Mo after structural relaxation, from Alexandria via LeMat-Bulk.

Its calculated volume is 19.36 A^3/atom. For the energy relative to the lowest polymorph listed for this composition, the calculation gives 14 meV/atom. The total energy comes out at -59.78 eV per cell.

The space group is I4/mmm (No. 139) and the conventional cell measures 3.3478, 3.3478 and 10.3645 Å, with angles of 90.00, 90.00 and 90.00 degrees. Symmetry generates all atoms from Zr at (0.0000, 0.0000, 0.1505) and Mo at (0.0000, 0.0000, 0.5000).


No. 3
The following is a GGA-PBEsol calculation of RbSeIBr2 after structural relaxation, from Alexandria via LeMat-Bulk.

The calculation puts the formation energy from raw total energies at -9.656 kcal/mol of atoms. Its calculated volume is 36.60 A^3/atom. The total energy comes out at -12.48 eV per cell.

The space group is P4/mmm (No. 123) and the conventional cell measures 5.8454, 5.8454 and 5.3565 Å, with angles of 90.00, 90.00 and 90.00 degrees. Symmetry generates all atoms from Rb at (0.0000, 0.0000, 0.0000), Se at (0.5000, 0.5000, 0.0000), I at (0.5000, 0.5000, 0.5000) and Br at (0.0000, 0.5000, 0.5000).


No. 4
The following is a GGA-PBEsol calculation of NaCu2Au2 after structural relaxation, from Alexandria via LeMat-Bulk.

Its calculated volume is 17.06 A^3/atom. For the energy relative to the lowest polymorph listed for this composition, the calculation gives 133 meV/atom. The total energy comes out at -35.58 eV per cell.

The space group is I4/mmm (No. 139) and the conventional cell measures 3.6785, 3.6785 and 12.6053 Å, with angles of 90.00, 90.00 and 90.00 degrees. Symmetry generates all atoms from Na at (0.0000, 0.0000, 0.0000), Cu at (0.0000, 0.5000, 0.2500) and Au at (0.0000, 0.0000, 0.3930).


total energy of number 2 (Zr2Mo)? -59.78 eV per cell